## TbPm5DyHo2 (GGA-PBE)

Data for an optimized crystal structure of TbPm5DyHo2.

Lattice parameters (Å, degrees): 5.642 20.259 10.669 90.00 90.00 90.00
Space group Cmc2_1 (No. 36)
Asymmetric unit:
Tb 0.000 0.200 0.000 x4
Pm 0.000 0.017 0.010 x4
Pm 0.000 0.281 0.301 x4
Pm 0.000 0.298 0.696 x4
Pm 0.000 0.388 0.013 x4
Pm 0.000 0.481 0.732 x4
Dy 0.000 0.410 0.449 x4
Ho 0.000 0.112 0.727 x4
Ho 0.000 0.115 0.304 x4

Properties
Volume = 33.88 Å³/atom
DFT formation energy = 127 kJ/mol of formula units
Electronic total energy = -163.29 eV per cell